VASP calculation (PBE) on a relaxed structure of Pr2CdGeO6.

Calculated values
- crystal system = tetragonal
- formation energy without anion corrections (eV per formula unit) = -22.9
- density (Mg/m³) = 6.281
- V (Å³/cell) = 149

abc: 5.0489 5.4289 5.4289
angles: 90.00 90.00 90.00
Closest atoms and distances in Å follow each position.
Fractional positions:
Pr 0.0083 0.5000 0.0000  4 O 2.39
Pr 0.0083 0.0000 0.5000  4 O 2.39
Cd 0.5473 0.5000 0.5000  5 O 2.14-2.27
Ge 0.6014 0.0000 0.0000  5 O 1.80-1.88
O 0.7282 0.2299 0.2299  1 Ge 1.88
O 0.7282 0.2299 0.7701  1 Ge 1.88
O 0.1241 0.5000 0.5000  1 Cd 2.14
O 0.2445 0.0000 0.0000  1 Ge 1.80
O 0.7282 0.7701 0.7701  1 Ge 1.88
O 0.7282 0.7701 0.2299  1 Ge 1.88